# Ca3TlP (PBE, relaxed)
# ρ in g/cm³: 4.2
# Calculated total energy in eV/cell: -68.289
# Excess energy over the best structure of this formula in the dataset in meV/atom: 62
# Size of the total moment in μB per cell: 0.00
# Energy of formation in meV/atom: -658.3
data_Ca3TlP
_chemical_formula_sum 'Ca12 Tl4 P4'
_space_group_name_H-M_alt 'C 1 2/m 1'
_space_group_IT_number 12
_space_group_name_Hall '-C 2y'
_cell_length_a 12.103
_cell_length_b 11.596
_cell_length_c 4.014
_cell_angle_alpha 90.00
_cell_angle_beta 90.10
_cell_angle_gamma 90.00
loop_
_atom_site_label
_atom_site_type_symbol
_atom_site_fract_x
_atom_site_fract_y
_atom_site_fract_z
_atom_site_occupancy
Ca1 Ca 0.000 0.132 0.000 1
Ca2 Ca 0.181 0.500 0.000 1
Ca3 Ca 0.250 0.250 0.500 1
Tl1 Tl 0.000 0.359 0.500 1
P1 P 0.152 0.000 0.499 1